ZrNbCrW2 | Alexandria via LeMat-Bulk | SCAN | single point on PBEsol structure; E_tot = -42.106 eV per atom; volume = 19.11 A^3/atom; calculated formation energy = 2212.3 meV/atom; crystal system = tetragonal; total magnetization = 1.96 μB per formula unit; space group = No. 123
1.0
4.7294 0.0000 0.0000
0.0000 4.7294 0.0000
0.0000 0.0000 4.2728
Zr Nb Cr W
1 1 1 2
Direct
0.0000 0.0000 0.0000
0.5000 0.5000 0.5000
0.0000 0.0000 0.5000
0.0000 0.5000 0.0000
0.5000 0.0000 0.0000

YNb3Cr | Alexandria via LeMat-Bulk | SCAN | single point on PBEsol structure; E_tot = -26.971 eV per atom; volume = 22.49 A^3/atom; calculated formation energy = 2152.6 meV/atom; crystal system = cubic; total magnetization = 3.42 μB per formula unit; space group = No. 221
1.0
4.8268 0.0000 0.0000
0.0000 4.8268 0.0000
0.0000 0.0000 4.8268
Y Nb Cr
1 3 1
Direct
0.0000 0.0000 0.0000
0.0000 0.0000 0.5000
0.0000 0.5000 0.0000
0.5000 0.0000 0.0000
0.5000 0.5000 0.5000

NbZn3Cr | Alexandria via LeMat-Bulk | SCAN | single point on PBEsol structure; E_tot = -17.206 eV per atom; volume = 23.06 A^3/atom; calculated formation energy = 1206.4 meV/atom; crystal system = cubic; total magnetization = 2.88 μB per formula unit; space group = No. 221
1.0
4.8675 0.0000 0.0000
0.0000 4.8675 0.0000
0.0000 0.0000 4.8675
Nb Zn Cr
1 3 1
Direct
0.0000 0.0000 0.0000
0.0000 0.0000 0.5000
0.0000 0.5000 0.0000
0.5000 0.0000 0.0000
0.5000 0.5000 0.5000

Nb3ZnCr | Alexandria via LeMat-Bulk | SCAN | single point on PBEsol structure; E_tot = -24.999 eV per atom; volume = 20.32 A^3/atom; calculated formation energy = 1258.4 meV/atom; crystal system = cubic; total magnetization = 3.06 μB per formula unit; space group = No. 221
1.0
4.6659 0.0000 0.0000
0.0000 4.6659 0.0000
0.0000 0.0000 4.6659
Nb Zn Cr
3 1 1
Direct
0.0000 0.0000 0.5000
0.0000 0.5000 0.0000
0.5000 0.0000 0.0000
0.0000 0.0000 0.0000
0.5000 0.5000 0.5000

Sr2Nd2CrNiO8 | Alexandria via LeMat-Bulk | SCAN | single point on PBEsol structure; E_tot = -18.365 eV per atom; formation energy without anion corrections = -2.928 eV/atom; volume = 12.54 A^3/atom; crystal system = orthorhombic; total magnetization = 4.00 μB per formula unit; space group = No. 38
1.0
5.3386 0.0000 0.0000
0.0000 2.6553 6.1921
0.0000 -2.6553 6.1921
Sr Nd Cr Ni O
2 2 1 1 8
Direct
0.0000 0.0000 0.0000
0.5000 0.2094 0.2094
0.0000 0.7185 0.7185
0.5000 0.4920 0.4920
0.5000 0.8563 0.8563
0.0000 0.3547 0.3547
0.0000 0.1906 0.1906
0.0000 0.5332 0.5332
0.2545 0.1029 0.6072
0.2545 0.6072 0.1029
0.5000 0.0136 0.0136
0.5000 0.6833 0.6833
0.7455 0.1029 0.6072
0.7455 0.6072 0.1029

NdCrO3 | Alexandria via LeMat-Bulk | SCAN | single point on PBEsol structure; E_tot = -19.374 eV per atom; formation energy without anion corrections = -3.242 eV/atom; volume = 11.33 A^3/atom; crystal system = orthorhombic; total magnetization = 3.00 μB per formula unit; space group = No. 62
1.0
5.5060 0.0000 0.0000
0.0000 7.6541 0.0000
0.0000 0.0000 5.3764
Nd Cr O
4 4 12
Direct
0.0510 0.2500 0.0120
0.4490 0.7500 0.5120
0.5510 0.2500 0.4880
0.9490 0.7500 0.9880
0.0000 0.0000 0.5000
0.0000 0.5000 0.5000
0.5000 0.0000 0.0000
0.5000 0.5000 0.0000
0.0199 0.7500 0.4164
0.2085 0.5446 0.7928
0.2085 0.9554 0.7928
0.2915 0.0446 0.2928
0.2915 0.4554 0.2928
0.4801 0.2500 0.9164
0.5199 0.7500 0.0836
0.7085 0.5446 0.7072
0.7085 0.9554 0.7072
0.7915 0.0446 0.2072
0.7915 0.4554 0.2072
0.9801 0.2500 0.5836

Cr3Ni | Alexandria via LeMat-Bulk | SCAN | single point on PBEsol structure; E_tot = -17.766 eV per atom; volume = 10.90 A^3/atom; calculated formation energy = 65.3 meV/atom; crystal system = orthorhombic; total magnetization = 0.15 μB per formula unit; space group = No. 65
1.0
2.8908 0.0000 0.0000
0.0000 3.8329 0.0000
0.0000 0.0000 7.8678
Cr Ni
6 2
Direct
0.0000 0.0000 0.0000
0.0000 0.5000 0.2532
0.0000 0.5000 0.7468
0.5000 0.0000 0.2532
0.5000 0.0000 0.7468
0.5000 0.5000 0.0000
0.0000 0.0000 0.5000
0.5000 0.5000 0.5000

Cr4Ni5 | Alexandria via LeMat-Bulk | SCAN | single point on PBEsol structure; E_tot = -17.051 eV per atom; volume = 10.65 A^3/atom; calculated formation energy = 105.5 meV/atom; crystal system = tetragonal; total magnetization = 0.00 μB per formula unit; space group = No. 139
1.0
-3.8366 3.8366 1.6278
3.8366 -3.8366 1.6278
3.8366 3.8366 -1.6278
Cr Ni
4 5
Direct
0.0000 0.3351 0.3351
0.0000 0.6649 0.6649
0.3351 0.0000 0.3351
0.6649 0.0000 0.6649
0.0000 0.0000 0.0000
0.3332 0.3332 0.6664
0.3332 0.6668 0.0000
0.6668 0.3332 0.0000
0.6668 0.6668 0.3336

CrNi7 | Alexandria via LeMat-Bulk | SCAN | single point on PBEsol structure; E_tot = -16.438 eV per atom; volume = 10.51 A^3/atom; calculated formation energy = 12.1 meV/atom; crystal system = cubic; total magnetization = 7.02 μB per formula unit; space group = No. 225
1.0
0.0000 3.4770 3.4770
3.4770 0.0000 3.4770
3.4770 3.4770 0.0000
Cr Ni
1 7
Direct
0.0000 0.0000 0.0000
0.0000 0.0000 0.5000
0.0000 0.5000 0.0000
0.0000 0.5000 0.5000
0.5000 0.0000 0.0000
0.5000 0.0000 0.5000
0.5000 0.5000 0.0000
0.5000 0.5000 0.5000

Cr3Ni | Alexandria via LeMat-Bulk | SCAN | single point on PBEsol structure; E_tot = -17.708 eV per atom; volume = 10.92 A^3/atom; calculated formation energy = 124.1 meV/atom; crystal system = monoclinic; total magnetization = 0.00 μB per formula unit; space group = No. 10
1.0
2.3585 0.0000 0.0000
0.0000 3.9483 0.0000
-0.8618 0.0000 4.6909
Cr Ni
3 1
Direct
0.0000 0.0000 0.0000
0.2093 0.5000 0.7496
0.7907 0.5000 0.2504
0.5000 0.0000 0.5000

Cr2Ni | Alexandria via LeMat-Bulk | SCAN | single point on PBEsol structure; E_tot = -17.266 eV per atom; volume = 11.48 A^3/atom; calculated formation energy = 381.7 meV/atom; crystal system = trigonal; total magnetization = 0.00 μB per formula unit; space group = No. 164
1.0
2.6805 0.0000 0.0000
-1.3403 2.3214 0.0000
0.0000 0.0000 5.5324
Cr Ni
2 1
Direct
0.3333 0.6667 0.3566
0.6667 0.3333 0.6434
0.0000 0.0000 0.0000

Cr5Ni3 | Alexandria via LeMat-Bulk | SCAN | single point on PBEsol structure; E_tot = -17.538 eV per atom; volume = 10.78 A^3/atom; calculated formation energy = 17.3 meV/atom; crystal system = orthorhombic; total magnetization = 2.14 μB per formula unit; space group = No. 65
1.0
6.9086 0.0000 0.0000
0.0000 7.2924 0.0000
0.0000 0.0000 3.4232
Cr Ni
10 6
Direct
0.0000 0.0000 0.0000
0.0000 0.2520 0.5000
0.0000 0.7480 0.5000
0.2500 0.2500 0.0000
0.2500 0.7500 0.0000
0.5000 0.2480 0.5000
0.5000 0.5000 0.0000
0.5000 0.7520 0.5000
0.7500 0.2500 0.0000
0.7500 0.7500 0.0000
0.0000 0.5000 0.0000
0.2444 0.5000 0.5000
0.2556 0.0000 0.5000
0.5000 0.0000 0.0000
0.7444 0.0000 0.5000
0.7556 0.5000 0.5000